Mn2CrCo2: optimized geometry, PBE.

CIF file:
```
data_Mn2CrCo2
_chemical_formula_sum 'Mn2 Cr1 Co2'
_cell_length_a 3.1884
_cell_length_b 3.1884
_cell_length_c 6.1766
_cell_angle_alpha 104.96
_cell_angle_beta 104.96
_cell_angle_gamma 90.00
_space_group_name_H-M_alt 'P 1'
_space_group_IT_number 1
loop_
_space_group_symop_operation_xyz
'x,y,z'
loop_
_atom_site_label
_atom_site_fract_x
_atom_site_fract_y
_atom_site_fract_z
Mn1 0.2500 0.7500 0.5000
Cr1 0.0000 0.0000 0.0000
Co1 0.5962 0.5962 0.1925
Co2 0.4038 0.4038 0.8075
Mn2 0.7500 0.2500 0.5000
```

## Properties
- DFT formation energy (eV per atom) = 0.48